Computed, not measured: an optimized crystal structure of Ba3Rh at the PBE level of DFT.

Structure (POSCAR):
```
Ba3Rh
1.0
-2.351 0.383 4.767
-4.739 -0.902 -2.265
0.645 -5.239 0.739
Ba Rh
3 1
direct
0.500 0.500 0.000
0.500 0.000 0.500
0.000 0.500 0.500
0.000 0.000 0.000
```

## Properties
* density: 5.65 g cm⁻³
* ΔH_f (0 K): 260 meV/atom